Below is Mg2ZnAg3 after structural relaxation, with properties calculated at the GGA-PBE level.

The density of states at the Fermi level is 0.98 states/eV/f.u. The total magnetic moment comes out at 0.0 μB/cell. For the energy relative to the elements, the calculation gives -17 kJ/mol of atoms. The space-group type is Cmmm (65).

Lattice parameters (Å, degrees): 6.964 6.964 3.605 90.00 90.00 142.69
Positions (direct):
Mg 0.165 0.835 0.000
Mg 0.835 0.165 0.000
Zn 0.500 0.500 0.000
Ag 0.000 0.000 0.500
Ag 0.338 0.662 0.500
Ag 0.662 0.338 0.500